# BaMnPt

Crystalline BaMnPt at its relaxed geometry (PBEsol, Alexandria via LeMat-Bulk).

Lattice parameters (Å, degrees): 7.057 7.057 7.057 90.00 90.00 90.00
Space group F-43m (No. 216)
Symmetry-distinct sites (fractional):
Ba 0.000 0.000 0.000 [4 per cell]
Mn 0.250 0.250 0.750 [4 per cell]
Pt 0.250 0.250 0.250 [4 per cell]

Summary:
**Formation enthalpy at 0 K**: 1.02 eV per atom
**Volume**: 29.3 Å³/atom
**Fermi-level density of states**: 0.651 states/eV/atom